## Ac3V5Te12 (PBE)

Data for Ac3V5Te12 after structural relaxation.

The mass density is 6182 kg/m3. As for the magnetic moment: 10.0 μB/f.u. As for the uncorrected formation energy: -0.65 eV/atom.

Geometry as POSCAR:
```
Ac3V5Te12
1.0
-2.894 4.660 -14.069
-7.077 -13.099 2.519
-4.911 10.348 9.840
Te V Ac
48 20 12
direct
0.387 0.977 0.797
0.113 0.703 0.523
0.477 0.680 0.090
0.023 0.613 0.703
0.703 0.113 0.023
0.410 0.387 0.590
0.523 0.320 0.910
0.820 0.910 0.297
0.910 0.090 0.613
0.180 0.090 0.703
0.887 0.297 0.477
0.703 0.590 0.180
0.113 0.410 0.090
0.680 0.477 0.590
0.613 0.023 0.203
0.887 0.590 0.910
0.410 0.113 0.590
0.590 0.977 0.680
0.090 0.910 0.113
0.090 0.180 0.477
0.797 0.320 0.910
0.023 0.410 0.820
0.590 0.887 0.410
0.410 0.297 0.320
0.523 0.203 0.113
0.797 0.477 0.387
0.320 0.797 0.410
0.477 0.797 0.887
0.090 0.180 0.203
0.090 0.910 0.387
0.203 0.680 0.090
0.910 0.820 0.797
0.590 0.613 0.410
0.910 0.090 0.887
0.297 0.410 0.820
0.820 0.910 0.023
0.613 0.590 0.910
0.910 0.820 0.523
0.180 0.090 0.977
0.410 0.023 0.320
0.680 0.203 0.590
0.977 0.590 0.180
0.977 0.387 0.297
0.203 0.523 0.613
0.590 0.703 0.680
0.387 0.410 0.090
0.297 0.887 0.977
0.320 0.523 0.410
0.625 0.750 0.875
0.000 0.000 0.000
0.750 0.125 0.875
0.000 0.500 0.000
0.125 0.750 0.375
0.250 0.375 0.625
0.875 0.625 0.750
0.500 0.000 0.500
0.000 0.000 0.500
0.125 0.375 0.250
0.250 0.875 0.125
0.375 0.250 0.125
0.500 0.000 0.000
0.875 0.250 0.625
0.625 0.875 0.250
0.000 0.500 0.500
0.375 0.125 0.750
0.750 0.625 0.375
0.500 0.500 0.000
0.500 0.500 0.500
0.875 0.750 0.125
0.250 0.125 0.375
0.875 0.125 0.250
0.750 0.375 0.125
0.125 0.875 0.750
0.625 0.250 0.375
0.375 0.625 0.250
0.375 0.750 0.625
0.125 0.250 0.875
0.625 0.375 0.750
0.750 0.875 0.625
0.250 0.625 0.875
```